Record 1
First-principles (PBE-GGA) data for an optimized crystal structure of NaP2PdSe8, as listed in Alexandria via LeMat-Bulk.

It has space group R-3 (No. 148, hexagonal axes), with a = 5.9267 Å, b = 5.9267 Å, c = 29.0265 Å, α = 90.00°, β = 90.00° and γ = 120.00°. The asymmetric unit holds Na at (0.0000, 0.0000, 0.0000), P at (0.0000, 0.0000, 0.2481), Pd at (0.0000, 0.0000, 0.5000), Se at (0.0000, 0.0000, 0.3228) and Se at (0.0215, 0.7140, 0.1111).

Record 2
First-principles (PBE-GGA) data for an optimized crystal structure of KCa4Sb, as listed in Alexandria via LeMat-Bulk.

It has space group F-43m (No. 216), with a = 9.956 Å, b = 9.956 Å, c = 9.956 Å, α = 90.00°, β = 90.00° and γ = 90.00°. The asymmetric unit holds K at (0.000, 0.000, 0.000), Ca at (0.123, 0.123, 0.377) and Sb at (0.250, 0.250, 0.750).

no.,electronic total energy (eV/atom),formation energy from raw total energies (meV per atom)
1,-3.89,-125.6
2,-2.08,122.3